Entry 1:
Computed, not measured: BaPbF3 at its PBEsol-relaxed geometry at the SCAN level of DFT.

Computed properties:
**E_form (uncorrected)**: -2.49 eV per atom
**Space group**: Pm-3m (221)
**Size of the total moment**: 0.197 μB per atom

Structure (POSCAR):
```
BaPbF3
1.0
-1.056 -4.532 1.777
3.619 -1.947 -2.815
3.256 0.694 3.705
F Pb Ba
3 1 1
Cartesian
1.100 -1.919 2.741
1.281 -3.240 -0.519
3.437 -0.627 0.445
0.000 0.000 0.000
2.909 -2.893 1.334
```


Entry 2:
Computed, not measured: MnCoP at its PBEsol-relaxed geometry at the SCAN level of DFT.

Computed properties:
**Space group**: P-6m2 (187)
**Size of the total moment**: 1.198 μB per atom

Structure (POSCAR):
```
MnCoP
1.0
-1.142 1.064 -2.265
-0.694 -3.440 -1.266
-2.530 1.759 2.102
Mn Co P
1 1 1
Cartesian
-1.306 -1.707 -0.143
-0.571 0.532 -1.132
-2.489 0.558 -0.153
```


Entry 3:
Computed, not measured: Ho5Ge2Sb2 at its PBEsol-relaxed geometry at the SCAN level of DFT.

Computed properties:
**E_form (uncorrected)**: -1.05 eV per atom
**Space group**: Cmce (64)
**Size of the total moment**: 0.000 μB per atom

Structure (POSCAR):
```
Ho5Ge2Sb2
1.0
7.758 0.000 0.000
-3.879 7.429 0.000
0.000 0.000 7.778
Ge Ho Sb
4 10 4
Cartesian
6.693 0.000 2.827
1.065 0.000 4.952
2.814 0.000 1.063
4.944 0.000 6.716
5.161 1.893 1.281
0.000 0.000 0.000
1.282 5.536 1.281
1.282 1.893 2.609
3.879 0.000 3.889
2.597 1.893 6.498
-2.597 5.536 2.609
2.597 5.536 5.170
6.476 1.893 5.170
-1.282 5.536 6.498
0.000 3.051 0.000
0.000 4.378 3.889
3.879 3.051 3.889
3.879 4.378 0.000
```


Entry 4:
Computed, not measured: Sn2Sb2Pb at its PBEsol-relaxed geometry at the SCAN level of DFT.

Computed properties:
**E_form (uncorrected)**: 0.22 eV per atom
**Space group**: I4/mmm (139)
**Offset from the most stable computed form**: 7.9 kJ per mole of atoms
**Size of the total moment**: 0.000 μB per atom

Structure (POSCAR):
```
Sn2Sb2Pb
1.0
-3.579 1.099 1.911
-1.966 -3.239 -1.820
4.728 -3.724 6.373
Sn Sb Pb
2 2 1
Cartesian
1.585 -3.885 5.202
-2.402 -1.979 1.262
-0.812 -1.848 4.165
-0.005 -4.016 2.299
0.000 0.000 0.000
```


Entry 5:
Computed, not measured: Zr3FeN at its PBEsol-relaxed geometry at the SCAN level of DFT.

Computed properties:
**E_form (uncorrected)**: -0.76 eV per atom
**Space group**: Pm-3m (221)
**Size of the total moment**: 0.483 μB per atom

Structure (POSCAR):
```
Zr3FeN
1.0
-3.455 2.223 -1.521
-2.427 -1.498 3.325
1.167 3.465 2.413
Zr N Fe
3 1 1
Cartesian
-1.214 -0.749 1.662
-1.727 1.112 -0.760
0.584 1.732 1.206
0.000 0.000 0.000
-2.357 2.095 2.109
```


Entry 6:
Computed, not measured: CaMgBe at its PBEsol-relaxed geometry at the SCAN level of DFT.

Computed properties:
**Space group**: I4mm (107)
**Offset from the most stable computed form**: 0.0 kJ per mole of atoms
**Size of the total moment**: 0.000 μB per atom

Structure (POSCAR):
```
CaMgBe
1.0
3.322 0.000 0.000
0.000 3.322 0.000
-1.661 -1.661 5.835
Be Mg Ca
1 1 1
Cartesian
0.000 0.000 0.184
1.661 1.661 1.539
0.000 0.000 4.112
```


Entry 7:
Computed, not measured: TaMo3 at its PBEsol-relaxed geometry at the SCAN level of DFT.

Computed properties:
**Space group**: R-3m (166)
**Size of the total moment**: 0.000 μB per atom

Structure (POSCAR):
```
TaMo3
1.0
-1.786 -2.285 3.410
-2.659 -3.510 -0.807
4.310 -6.337 0.949
Mo Ta
6 2
Cartesian
-3.332 -6.642 2.619
3.197 -5.490 0.934
1.075 -3.876 0.904
0.999 -6.878 1.791
-1.210 -8.256 2.649
-1.134 -5.254 1.761
-1.093 -2.227 0.873
0.958 -9.905 2.679
```


Entry 8:
Computed, not measured: Ba3Re2O9 at its PBEsol-relaxed geometry at the SCAN level of DFT.

Computed properties:
**E_form (uncorrected)**: -2.42 eV per atom
**Space group**: R-3m (166)
**Size of the total moment**: 0.000 μB per atom

Structure (POSCAR):
```
Ba3Re2O9
1.0
5.692 0.000 0.000
2.846 4.929 0.000
2.846 1.643 6.912
Re Ba O
2 3 9
Cartesian
5.692 3.286 5.708
5.692 3.286 1.203
0.000 0.000 0.000
8.538 4.929 4.366
2.846 1.643 2.545
7.051 2.502 4.739
4.269 2.465 0.000
4.333 2.502 4.739
5.692 4.855 4.739
7.051 4.071 2.173
2.846 0.000 0.000
1.423 2.465 0.000
5.692 1.717 2.173
4.333 4.071 2.173
```


Entry 9:
Computed, not measured: Mn2SiNi at its PBEsol-relaxed geometry at the SCAN level of DFT.

Computed properties:
**E_form (uncorrected)**: -0.40 eV per atom
**Space group**: I-4m2 (119)
**Size of the total moment**: 0.079 μB per atom

Structure (POSCAR):
```
Mn2SiNi
1.0
-0.409 2.416 2.584
1.652 -2.170 2.290
2.365 1.272 -3.269
Si Mn Ni
1 2 1
Cartesian
2.319 -0.388 0.729
1.289 1.906 0.876
0.000 0.000 0.000
0.621 0.123 2.437
```


Entry 10:
Computed, not measured: Re3P at its PBEsol-relaxed geometry at the SCAN level of DFT.

Computed properties:
**Space group**: P-6m2 (187)
**Offset from the most stable computed form**: 0.0 kJ per mole of atoms
**Size of the total moment**: 0.000 μB per atom

Structure (POSCAR):
```
Re3P
1.0
2.912 0.000 0.000
-1.456 2.522 0.000
0.000 0.000 7.612
P Re
1 3
Cartesian
0.000 0.000 0.000
0.000 1.681 1.675
0.000 0.000 3.806
0.000 1.681 5.937
```


Entry 11:
Computed, not measured: InIr2Cl at its PBEsol-relaxed geometry at the SCAN level of DFT.

Computed properties:
**E_form (uncorrected)**: 0.48 eV per atom
**Space group**: Cmm2 (35)
**Offset from the most stable computed form**: 0.0 kJ per mole of atoms
**Size of the total moment**: 0.000 μB per atom

Structure (POSCAR):
```
InIr2Cl
1.0
-0.431 0.774 2.654
2.032 -2.000 -0.561
6.555 6.929 -0.957
Ir Cl In
2 1 1
Cartesian
1.436 2.133 1.086
0.151 0.160 -0.022
3.014 3.186 -0.440
4.801 5.690 0.594
```


Entry 12:
Computed, not measured: Ho2ReC2 at its PBEsol-relaxed geometry at the SCAN level of DFT.

Computed properties:
**Space group**: Pnma (62)
**Size of the total moment**: 0.000 μB per atom

Structure (POSCAR):
```
Ho2ReC2
1.0
-0.665 4.454 2.230
-6.062 -1.693 1.574
3.211 -3.712 8.371
C Ho Re
8 8 4
Cartesian
-0.700 0.737 6.812
-1.052 0.623 1.273
-5.432 0.770 5.336
1.916 -1.721 6.839
-1.058 -2.633 7.773
-2.457 1.681 4.402
-2.816 -1.689 5.363
-2.464 -1.575 10.903
-3.186 0.545 6.455
-0.330 -1.496 5.720
-2.117 -3.781 9.751
-1.212 -0.474 9.077
-5.115 -1.579 4.460
-1.399 2.830 2.424
-2.304 -0.478 3.098
1.599 0.628 7.715
-4.425 1.635 3.908
0.909 -2.587 8.267
-2.879 -2.558 7.080
-0.637 1.606 5.095
```


Entry 13:
Computed, not measured: KTcSb2 at its PBEsol-relaxed geometry at the SCAN level of DFT.

Computed properties:
**E_form (uncorrected)**: 0.12 eV per atom
**Space group**: I-42d (122)
**Offset from the most stable computed form**: 30.6 kJ per mole of atoms
**Size of the total moment**: 0.000 μB per atom

Structure (POSCAR):
```
KTcSb2
1.0
-3.957 -4.390 -2.777
2.094 -4.543 4.198
-4.461 6.341 4.009
K Tc Sb
2 2 4
Cartesian
-4.675 -1.258 0.971
-0.931 -4.466 0.710
-1.649 -1.334 4.458
0.000 0.000 0.000
-2.000 0.215 6.348
0.208 -2.955 4.318
-0.810 -0.651 2.239
-3.994 -1.946 4.928
```


Entry 14:
Computed, not measured: Si3BiBr at its PBEsol-relaxed geometry at the SCAN level of DFT.

Computed properties:
**E_form (uncorrected)**: 1.59 eV per atom
**Space group**: Pm-3m (221)
**Size of the total moment**: 0.354 μB per atom

Structure (POSCAR):
```
Si3BiBr
1.0
5.426 0.000 0.000
0.000 5.426 0.000
0.000 0.000 5.426
Si Br Bi
3 1 1
Cartesian
0.000 2.713 0.000
2.713 0.000 0.000
0.000 0.000 2.713
2.713 2.713 2.713
0.000 0.000 0.000
```


Entry 15:
Computed, not measured: Ca3FeSb at its PBEsol-relaxed geometry at the SCAN level of DFT.

Computed properties:
**E_form (uncorrected)**: 0.21 eV per atom
**Space group**: Pm-3m (221)
**Size of the total moment**: 0.713 μB per atom

Structure (POSCAR):
```
Ca3FeSb
1.0
-5.217 -2.494 -0.520
2.534 -5.201 -0.478
-0.261 -0.656 5.762
Sb Fe Ca
1 1 3
Cartesian
0.000 0.000 0.000
-1.472 -4.176 2.382
-0.131 -0.328 2.881
1.267 -2.601 -0.239
-2.608 -1.247 -0.260
```


Entry 16:
Computed, not measured: SrSnBr3 at its PBEsol-relaxed geometry at the SCAN level of DFT.

Computed properties:
**E_form (uncorrected)**: -1.09 eV per atom
**Space group**: Pm-3m (221)
**Size of the total moment**: 0.201 μB per atom

Structure (POSCAR):
```
SrSnBr3
1.0
5.763 0.000 0.000
0.000 5.763 0.000
0.000 0.000 5.763
Br Sr Sn
3 1 1
Cartesian
0.000 0.000 2.881
2.881 0.000 0.000
0.000 2.881 0.000
0.000 0.000 0.000
2.881 2.881 2.881
```


Entry 17:
Computed, not measured: CuRePb at its PBEsol-relaxed geometry at the SCAN level of DFT.

Computed properties:
**Space group**: F-43m (216)
**Offset from the most stable computed form**: 27.4 kJ per mole of atoms
**Size of the total moment**: 0.818 μB per atom

Structure (POSCAR):
```
CuRePb
1.0
4.267 0.000 0.000
2.134 3.695 0.000
2.134 1.232 3.484
Pb Cu Re
1 1 1
Cartesian
0.000 0.000 0.000
2.134 1.232 0.871
4.267 2.464 1.742
```


Entry 18:
Computed, not measured: Co2PtO at its PBEsol-relaxed geometry at the SCAN level of DFT.

Computed properties:
**E_form (uncorrected)**: -0.11 eV per atom
**Space group**: I-42d (122)
**Size of the total moment**: 1.073 μB per atom

Structure (POSCAR):
```
Co2PtO
1.0
-1.852 2.006 4.114
2.810 -3.903 1.119
3.653 1.547 2.940
Pt O Co
2 2 4
Cartesian
0.690 0.414 3.072
0.000 0.000 0.000
3.232 -1.178 2.029
3.921 -0.764 5.101
2.781 -0.904 3.735
2.789 -0.242 6.378
1.612 -1.470 1.340
2.040 1.918 4.893
```


Entry 19:
Computed, not measured: In2FeNiI at its PBEsol-relaxed geometry at the SCAN level of DFT.

Computed properties:
**E_form (uncorrected)**: 0.54 eV per atom
**Space group**: P4/mmm (123)
**Size of the total moment**: 0.694 μB per atom

Structure (POSCAR):
```
In2FeNiI
1.0
-3.711 0.950 -2.127
2.507 -0.307 -4.512
-1.128 -5.038 -0.284
In Ni Fe I
2 1 1 1
Cartesian
1.254 -0.154 -2.256
-0.564 -2.519 -0.142
-1.856 0.475 -1.063
0.000 0.000 0.000
-1.166 -2.198 -3.461
```


Entry 20:
Computed, not measured: MnSi3Br at its PBEsol-relaxed geometry at the SCAN level of DFT.

Computed properties:
**E_form (uncorrected)**: 1.58 eV per atom
**Space group**: Pm-3m (221)
**Size of the total moment**: 0.881 μB per atom

Structure (POSCAR):
```
MnSi3Br
1.0
4.844 0.000 0.000
0.000 4.844 0.000
0.000 0.000 4.844
Br Si Mn
1 3 1
Cartesian
0.000 0.000 0.000
0.000 2.422 0.000
0.000 0.000 2.422
2.422 0.000 0.000
2.422 2.422 2.422
```


| no. | electronic total energy (eV/cell) |
| --- | --- |
| 1 | -138.4 |
| 2 | -47.3 |
| 3 | -734.1 |
| 4 | -221.0 |
| 5 | -123.3 |
| 6 | -18.2 |
| 7 | -343.2 |
| 8 | -350.8 |
| 9 | -64.3 |
| 10 | -224.1 |
| 11 | -181.6 |
| 12 | -768.0 |
| 13 | -234.9 |
| 14 | -120.1 |
| 15 | -83.3 |
| 16 | -122.0 |
| 17 | -158.4 |
| 18 | -222.9 |
| 19 | -135.1 |
| 20 | -59.9 |